1.
# MoPt2

A relaxed structure of MoPt2 (PBE, Alexandria).

Cell: 12.6832 12.6832 12.6832 Å, 167.45 167.45 17.78°
Last column: nearest neighbours and their distance in Å.
Sites, in units of the cell vectors:
1 Mo 0.3750 0.6250 0.7500  8 Pt 2.74, 4 Mo 2.77
2 Mo 0.6250 0.3750 0.2500  8 Pt 2.74, 4 Mo 2.77
3 Pt 0.0485 0.7985 0.2500  4 Mo 2.74, 6 Pt 2.77-2.80
4 Pt 0.2015 0.9515 0.2500  4 Mo 2.74, 6 Pt 2.77-2.80
5 Pt 0.7985 0.0485 0.7500  4 Mo 2.74, 6 Pt 2.77-2.80
6 Pt 0.9515 0.2015 0.7500  4 Mo 2.74, 6 Pt 2.77-2.80

The total energy is -7.918 eV/atom. The calculation puts the formation energy at -0.281 eV per atom. The energy above the most stable polymorph in this dataset is 0.099 eV per atom.

2.
# Pm8DyHo2

A relaxed structure of Pm8DyHo2 (PBE, Alexandria).

Cell: 9.0465 9.0465 6.7043 Å, 99.47 99.47 43.95°
Last column: nearest neighbours and their distance in Å.
Sites, in units of the cell vectors:
1 Pm 0.0931 0.0931 0.9123  8 Pm 3.36-3.75, 1 Ho 3.68
2 Pm 0.1506 0.6745 0.5950  5 Pm 3.22-3.55, 1 Dy 3.36, 1 Ho 3.47
3 Pm 0.2555 0.2555 0.6818  5 Pm 3.31-3.48, 4 Ho 3.38-3.66
4 Pm 0.3255 0.8494 0.4050  5 Pm 3.22-3.55, 1 Dy 3.36, 1 Ho 3.47
5 Pm 0.6745 0.1506 0.5950  5 Pm 3.22-3.55, 1 Dy 3.36, 1 Ho 3.47
6 Pm 0.7445 0.7445 0.3182  5 Pm 3.31-3.48, 4 Ho 3.38-3.66
7 Pm 0.8494 0.3255 0.4050  5 Pm 3.22-3.55, 1 Dy 3.36, 1 Ho 3.47
8 Pm 0.9069 0.9069 0.0877  8 Pm 3.36-3.75, 1 Ho 3.68
9 Dy 0.5000 0.5000 0.0000  4 Pm 3.36
10 Ho 0.3020 0.3020 0.1941  7 Pm 3.38-3.68, 1 Dy 3.78
11 Ho 0.6980 0.6980 0.8059  7 Pm 3.38-3.68, 1 Dy 3.78

The total energy is -4.537 eV/atom. The calculation puts the formation energy at 0.169 eV per atom. The energy above the most stable polymorph in this dataset is 0.000 eV per atom.

3.
# Tl4VCl6

A relaxed structure of Tl4VCl6 (PBE, Alexandria).

Cell: 8.4915 8.4915 9.2262 Å, 90.00 90.00 90.00°
Last column: nearest neighbours and their distance in Å.
Sites, in units of the cell vectors:
1 Tl 0.1571 0.3429 0.2500  6 Cl 3.13-3.35
2 Tl 0.1571 0.3429 0.7500  6 Cl 3.13-3.35
3 Tl 0.3429 0.8429 0.2500  6 Cl 3.13-3.35
4 Tl 0.3429 0.8429 0.7500  6 Cl 3.13-3.35
5 Tl 0.6571 0.1571 0.2500  6 Cl 3.13-3.35
6 Tl 0.6571 0.1571 0.7500  6 Cl 3.13-3.35
7 Tl 0.8429 0.6571 0.2500  6 Cl 3.13-3.35
8 Tl 0.8429 0.6571 0.7500  6 Cl 3.13-3.35
9 V 0.0000 0.0000 0.0000  6 Cl 2.48-2.52
10 V 0.5000 0.5000 0.5000  6 Cl 2.48-2.52
11 Cl 0.0000 0.0000 0.2693  1 V 2.48
12 Cl 0.0000 0.0000 0.7307  1 V 2.48
13 Cl 0.1205 0.7285 0.0000  1 V 2.52
14 Cl 0.2285 0.6205 0.5000  1 V 2.52
15 Cl 0.2715 0.1205 0.0000  1 V 2.52
16 Cl 0.3795 0.2285 0.5000  1 V 2.52
17 Cl 0.5000 0.5000 0.2307  1 V 2.48
18 Cl 0.5000 0.5000 0.7693  1 V 2.48
19 Cl 0.6205 0.7715 0.5000  1 V 2.52
20 Cl 0.7285 0.8795 0.0000  1 V 2.52
21 Cl 0.7715 0.3795 0.5000  1 V 2.52
22 Cl 0.8795 0.2715 0.0000  1 V 2.52

The total energy is -3.747 eV/atom. As for the energy relative to the elements, uncorrected: -11.55 eV/f.u.

4.
# Tl4In5Hg4

A relaxed structure of Tl4In5Hg4 (PBE, Alexandria).

Cell: 8.5656 8.5656 8.5656 Å, 96.14 96.14 141.81°
Last column: nearest neighbours and their distance in Å.
Sites, in units of the cell vectors:
1 Tl 0.1036 0.6083 0.7120  4 Hg 3.24-3.38, 1 In 3.34, 1 Tl 3.43
2 Tl 0.3917 0.1036 0.4953  4 Hg 3.24-3.38, 1 In 3.34, 1 Tl 3.43
3 Tl 0.6083 0.8964 0.5047  4 Hg 3.24-3.38, 1 In 3.34, 1 Tl 3.43
4 Tl 0.8964 0.3917 0.2880  4 Hg 3.24-3.38, 1 In 3.34, 1 Tl 3.43
5 In 0.0000 0.0000 0.0000  4 Hg 3.05
6 In 0.3235 0.4164 0.7399  3 Hg 3.05-3.32, 2 In 3.16, 1 Tl 3.34
7 In 0.4164 0.6765 0.0929  3 Hg 3.05-3.32, 2 In 3.16, 1 Tl 3.34
8 In 0.5836 0.3235 0.9071  3 Hg 3.05-3.32, 2 In 3.16, 1 Tl 3.34
9 In 0.6765 0.5836 0.2601  3 Hg 3.05-3.32, 2 In 3.16, 1 Tl 3.34
10 Hg 0.1303 0.2327 0.3631  4 In 3.05-3.32, 4 Tl 3.24-3.38
11 Hg 0.2327 0.8697 0.1024  4 In 3.05-3.32, 4 Tl 3.24-3.38
12 Hg 0.7673 0.1303 0.8976  4 In 3.05-3.32, 4 Tl 3.24-3.38
13 Hg 0.8697 0.7673 0.6369  4 In 3.05-3.32, 4 Tl 3.24-3.38

The total energy is -1.863 eV/atom. The calculation puts the formation energy at 0.011 eV per atom.

5.
# DyEr3Pd2

A relaxed structure of DyEr3Pd2 (PBE, Alexandria).

Cell: 3.7455 9.6554 8.4775 Å, 90.00 90.00 90.00°
Last column: nearest neighbours and their distance in Å.
Sites, in units of the cell vectors:
1 Dy 0.0000 0.0673 0.0000  4 Pd 2.99-3.01
2 Dy 0.0000 0.9327 0.5000  4 Pd 2.99-3.01
3 Er 0.0000 0.2862 0.6591  3 Pd 2.83-2.89
4 Er 0.0000 0.7138 0.1591  3 Pd 2.83-2.89
5 Er 0.5000 0.2156 0.3198  3 Pd 2.82-2.91
6 Er 0.5000 0.4340 0.9794  4 Pd 2.98-3.00
7 Er 0.5000 0.5660 0.4794  4 Pd 2.98-3.00
8 Er 0.5000 0.7844 0.8198  3 Pd 2.82-2.91
9 Pd 0.0000 0.4265 0.2525  7 Er 2.82-3.00
10 Pd 0.0000 0.5735 0.7525  7 Er 2.82-3.00
11 Pd 0.5000 0.0747 0.7257  3 Er 2.83-2.91, 4 Dy 2.99-3.01
12 Pd 0.5000 0.9253 0.2257  3 Er 2.83-2.91, 4 Dy 2.99-3.01

The total energy is -5.394 eV/atom. The calculation puts the formation energy at -0.614 eV per atom. The energy above the most stable polymorph in this dataset is 0.000 eV per atom.

6.
# YMoRh2

A relaxed structure of YMoRh2 (PBE, Alexandria).

Cell: 4.5863 4.5863 4.5863 Å, 60.00 60.00 60.00°
Last column: nearest neighbours and their distance in Å.
Sites, in units of the cell vectors:
1 Y 0.0000 0.0000 0.0000  4 Mo 2.81, 4 Rh 2.81
2 Mo 0.7500 0.7500 0.7500  4 Rh 2.81, 4 Y 2.81
3 Rh 0.2500 0.2500 0.2500  4 Rh 2.81, 4 Y 2.81
4 Rh 0.5000 0.5000 0.5000  4 Mo 2.81, 4 Rh 2.81

The total energy is -7.970 eV/atom. The calculation puts the formation energy at 0.030 eV per atom. The energy above the most stable polymorph in this dataset is 0.297 eV per atom.